Record 1
An optimized crystal structure of LiNdLuRh, computed with PBE.

abc: 4.9693 4.9693 4.9693
angles: 60.00 60.00 60.00
Atoms (fractional coordinates):
Rh 0.5000 0.5000 0.5000
Lu 0.7500 0.7500 0.7500
Nd 0.2500 0.2500 0.2500
Li 0.0000 0.0000 0.0000

Summary:
Its energy of formation is -0.4421 eV/atom. The space group is No. 216.

---

Record 2
An optimized crystal structure of Ga2Fe4I, computed with PBE.

abc: 4.6561 4.6561 7.1188
angles: 70.91 70.91 90.00
Site moments in Bohr magnetons follow the coordinates.
Atoms (fractional coordinates):
I 0.0000 0.0000 0.0000  -0.05
Fe 0.8025 0.8025 0.3949  2.82
Fe 0.1975 0.1975 0.6051  2.82
Fe 0.0000 0.5000 0.0000  1.93
Fe 0.5000 0.0000 0.0000  1.93
Ga 0.6148 0.6148 0.7705  -0.08
Ga 0.3852 0.3852 0.2295  -0.08

Summary:
The calculation puts the energy relative to the elements, uncorrected at 1.186 eV per atom. The space group is No. 139.

---

Record 3
An optimized crystal structure of ErTlCdAu, computed with PBE.

abc: 5.0529 5.0529 5.0529
angles: 60.00 60.00 60.00
Atoms (fractional coordinates):
Tl 0.7500 0.7500 0.7500
Cd 0.0000 0.0000 0.0000
Au 0.2500 0.2500 0.2500
Er 0.5000 0.5000 0.5000

Summary:
Its energy of formation is -0.3774 eV/atom. The space group is No. 216.

---

| no. | calculated density (g/cm³) | magnetization (Bohr magnetons per cell) |
| --- | --- | --- |
| 1 | 8.2 | 0.0 |
| 2 | 5.9 | 9.1 |
| 3 | 12.4 | 0.0 |